(1)
First-principles (PBE-GGA) data for a relaxed structure of ZrAg2W, as listed in Alexandria via LeMat-Bulk.

Results
ΔH_f (0 K) in eV/atom: 0.4371
Total magnetic moment in μB/cell: 0.00
Density of states at the Fermi level in states/eV/f.u.: 4.41
Final energy in eV/atom: -6.364

Geometry as POSCAR:
```
ZrAg2W
1.0
1.8285 -2.1195 0.0000
1.8285 2.1195 0.0000
0.0000 0.0000 9.3091
Zr Ag W
1 2 1
Cartesian
0.0000 0.0000 0.0000
1.8285 0.0000 2.4229
1.8285 0.0000 6.8862
0.0000 0.0000 4.6546
```

(2)
First-principles (PBE-GGA) data for a relaxed structure of CuMoRh2, as listed in Alexandria via LeMat-Bulk.

Results
ΔH_f (0 K) in eV/atom: -0.0183
Polymorph energy (0 for the lowest one) in eV per atom: 0.1164
Total magnetic moment in μB/cell: 0.00
Density of states at the Fermi level in states/eV/f.u.: 3.97
Final energy in eV/atom: -7.426

Geometry as POSCAR:
```
CuMoRh2
1.0
4.4495 -1.3575 0.0000
4.4495 1.3575 0.0000
-0.7804 0.0000 4.6752
Cu Mo Rh
1 1 2
Cartesian
0.0000 0.0000 0.0000
4.0593 0.0000 2.3376
1.6351 0.0000 3.5224
6.4835 0.0000 1.1528
```

(3)
First-principles (PBE-GGA) data for a relaxed structure of Li8Mg6Ag, as listed in Alexandria via LeMat-Bulk.

Results
ΔH_f (0 K) in eV/atom: -0.0488
Polymorph energy (0 for the lowest one) in eV per atom: 0.0000
Total magnetic moment in μB/cell: 0.00
Density of states at the Fermi level in states/eV/f.u.: 7.97
Final energy in eV/atom: -1.897

Geometry as POSCAR:
```
Li8Mg6Ag
1.0
2.6810 1.5479 12.2867
-2.6810 1.5479 12.2867
0.0000 -3.0958 12.2867
Li Mg Ag
8 6 1
Cartesian
-1.7830 0.0009 13.5256
0.0000 0.0000 6.1426
-0.8923 -1.5437 23.3345
0.8908 -1.5446 13.5256
-0.8908 1.5446 23.3345
0.8923 1.5437 13.5256
0.0000 0.0000 30.7174
1.7830 -0.0009 23.3345
-0.8809 -1.5259 16.0299
-1.7619 -0.0001 20.8301
-0.8810 1.5258 16.0299
0.8810 -1.5258 20.8301
1.7619 0.0001 16.0299
0.8809 1.5259 20.8301
0.0000 0.0000 18.4300
```

Among the records above, which one has the lowest ΔH_f (0 K)?
Li8Mg6Ag